No. 1
VASP calculation (PBE) on a relaxed structure of La2PmGe3Pt4.

Its density of states at the Fermi level is 7.37 states/eV/f.u. The calculation puts the formation energy from the elements at -0.97 eV/atom.

Unit cell a=4.396 b=4.396 c=11.221 alpha=90.00 beta=90.00 gamma=90.00
Positions (direct):
Pt (0.500, 0.000, 0.662)
Pt (0.000, 0.000, 0.000)
Pt (0.500, 0.500, 0.000)
Pt (0.000, 0.500, 0.338)
Ge (0.500, 0.000, 0.883)
Ge (0.000, 0.500, 0.117)
Ge (0.000, 0.000, 0.500)
Pm (0.500, 0.500, 0.500)
La (0.000, 0.500, 0.778)
La (0.500, 0.000, 0.222)


No. 2
VASP calculation (PBE) on a relaxed structure of GaCuTe2.

Its formation energy (no corrections) is -0.221 eV per atom. Its density of states at the Fermi level is 1.10 states/eV/f.u.

Unit cell a=4.317 b=4.316 c=7.065 alpha=90.00 beta=89.99 gamma=119.99
Positions (direct):
Te (0.403, 0.829, 0.585)
Te (0.736, 0.495, 0.047)
Ga (0.403, 0.829, 0.216)
Cu (0.736, 0.496, 0.670)


No. 3
VASP calculation (PBE) on a relaxed structure of Eu2ThCd.

The value obtained for the offset from the most stable computed form is 0.193 eV per atom. Its density of states at the Fermi level is 4.65 states/eV/f.u. The calculation puts the formation energy from the elements at 0.16 eV/atom.

Unit cell a=3.514 b=3.514 c=12.629 alpha=82.00 beta=82.00 gamma=60.00
Each line ends with the local moment (μB).
Positions (direct):
Eu (0.906, 0.906, 0.281)  7.04
Eu (0.094, 0.094, 0.719)  7.04
Cd (0.500, 0.500, 0.500)  0.01
Th (0.000, 0.000, 0.000)  0.00


No. 4
VASP calculation (PBE) on a relaxed structure of ReSiPb2.

Its formation energy (no corrections) is 0.643 eV per atom. Its density of states at the Fermi level is 3.08 states/eV/f.u.

Unit cell a=7.066 b=7.066 c=7.066 alpha=153.06 beta=143.73 gamma=45.76
Positions (direct):
Si (0.320, 0.820, 0.500)
Pb (0.712, 0.212, 0.500)
Pb (0.014, 0.014, 0.000)
Re (0.454, 0.454, 0.000)


No. 5
VASP calculation (PBE) on a relaxed structure of K2RbAgO.

Its formation energy (no corrections) is -0.575 eV per atom. Its density of states at the Fermi level is 0.15 states/eV/f.u.

Unit cell a=5.394 b=5.394 c=5.663 alpha=90.00 beta=90.00 gamma=90.00
Positions (direct):
K (0.500, 0.000, 0.000)
K (0.000, 0.500, 0.000)
Rb (0.000, 0.000, 0.500)
O (0.000, 0.000, 0.000)
Ag (0.500, 0.500, 0.500)


No. 6
VASP calculation (PBE) on a relaxed structure of Na2ScTl3.

Its density of states at the Fermi level is 3.20 states/eV/f.u. The calculation puts the formation energy from the elements at -0.13 eV/atom.

Unit cell a=5.222 b=8.290 c=7.590 alpha=90.00 beta=89.99 gamma=71.64
Positions (direct):
Tl (0.500, 0.000, 0.231)
Tl (0.500, 0.000, 0.769)
Tl (0.831, 0.337, 0.234)
Tl (0.169, 0.663, 0.766)
Tl (0.831, 0.337, 0.766)
Tl (0.169, 0.663, 0.234)
Na (0.000, 0.000, 0.000)
Na (0.000, 0.000, 0.500)
Na (0.663, 0.674, 0.500)
Na (0.337, 0.326, 0.500)
Sc (0.667, 0.666, 0.000)
Sc (0.333, 0.334, 0.000)


No. 7
VASP calculation (PBE) on a relaxed structure of Zr2IrPb.

Its density of states at the Fermi level is 2.95 states/eV/f.u. The calculation puts the formation energy from the elements at -0.37 eV/atom.

Unit cell a=4.194 b=3.798 c=5.800 alpha=71.00 beta=90.00 gamma=90.00
Positions (direct):
Pb (0.500, 0.542, 0.789)
Zr (0.000, 0.963, 0.947)
Zr (0.500, 0.265, 0.343)
Ir (0.000, 0.730, 0.421)


No. 8
VASP calculation (PBE) on a relaxed structure of Li2ReAu.

The value obtained for the offset from the most stable computed form is 0.522 eV per atom. Its density of states at the Fermi level is 1.52 states/eV/f.u. The calculation puts the formation energy from the elements at 0.53 eV/atom.

Unit cell a=4.279 b=4.279 c=4.279 alpha=60.00 beta=60.00 gamma=60.00
Each line ends with the local moment (μB).
Positions (direct):
Li (0.750, 0.750, 0.750)  -0.01
Li (0.250, 0.250, 0.250)  -0.01
Re (0.000, 0.000, 0.000)  2.00
Au (0.500, 0.500, 0.500)  0.02


No. 9
VASP calculation (PBE) on a relaxed structure of Ho2B6Os.

Its density of states at the Fermi level is 0.84 states/eV/f.u. The calculation puts the formation energy from the elements at -0.67 eV/atom.

Unit cell a=3.647 b=9.135 c=11.507 alpha=90.00 beta=90.00 gamma=90.00
Positions (direct):
Ho (0.000, 0.944, 0.373)
Ho (0.000, 0.056, 0.627)
Ho (0.000, 0.679, 0.586)
Ho (0.000, 0.444, 0.127)
Ho (0.000, 0.556, 0.873)
Ho (0.000, 0.179, 0.914)
Ho (0.000, 0.821, 0.086)
Ho (0.000, 0.321, 0.414)
B (0.500, 0.210, 0.733)
B (0.500, 0.053, 0.067)
B (0.500, 0.790, 0.267)
B (0.500, 0.252, 0.580)
B (0.500, 0.983, 0.213)
B (0.500, 0.710, 0.767)
B (0.500, 0.390, 0.969)
B (0.500, 0.290, 0.233)
B (0.500, 0.752, 0.920)
B (0.500, 0.631, 0.186)
B (0.500, 0.131, 0.314)
B (0.500, 0.110, 0.469)
B (0.500, 0.553, 0.433)
B (0.500, 0.947, 0.933)
B (0.500, 0.869, 0.686)
B (0.500, 0.517, 0.713)
B (0.500, 0.610, 0.031)
B (0.500, 0.483, 0.287)
B (0.500, 0.890, 0.531)
B (0.500, 0.748, 0.420)
B (0.500, 0.369, 0.814)
B (0.500, 0.447, 0.567)
B (0.500, 0.017, 0.787)
B (0.500, 0.248, 0.080)
Os (0.000, 0.863, 0.821)
Os (0.000, 0.137, 0.179)
Os (0.000, 0.637, 0.321)
Os (0.000, 0.363, 0.679)


No. 10
VASP calculation (PBE) on a relaxed structure of In3Bi3Pb.

The value obtained for the offset from the most stable computed form is 0.278 eV per atom. Its density of states at the Fermi level is 5.04 states/eV/f.u. The calculation puts the formation energy from the elements at 0.36 eV/atom.

Unit cell a=8.360 b=8.360 c=8.360 alpha=90.00 beta=90.00 gamma=90.00
Each line ends with the local moment (μB).
Positions (direct):
In (0.000, 0.500, 0.250)  0.03
In (0.750, 0.000, 0.500)  0.03
In (0.000, 0.500, 0.750)  0.03
In (0.250, 0.000, 0.500)  0.03
In (0.500, 0.750, 0.000)  0.03
In (0.500, 0.250, 0.000)  0.03
Pb (0.000, 0.000, 0.000)  0.42
Pb (0.500, 0.500, 0.500)  0.42
Bi (0.500, 0.000, 0.750)  0.02
Bi (0.750, 0.500, 0.000)  0.02
Bi (0.250, 0.500, 0.000)  0.02
Bi (0.500, 0.000, 0.250)  0.02
Bi (0.000, 0.250, 0.500)  0.02
Bi (0.000, 0.750, 0.500)  0.02


No. 11
VASP calculation (PBE) on a relaxed structure of Cs4Pu3ScS8.

Its formation energy (no corrections) is -1.565 eV per atom. Its density of states at the Fermi level is 29.64 states/eV/f.u.

Unit cell a=8.208 b=9.309 c=8.208 alpha=116.16 beta=120.00 gamma=90.00
Each line ends with the local moment (μB).
Positions (direct):
Cs (0.000, 0.000, 0.000)  0.00
Cs (0.000, 0.000, 0.500)  0.00
Cs (0.500, 0.000, 0.000)  0.01
Cs (0.500, 0.000, 0.500)  0.00
S (0.262, 0.323, 0.042)  -0.07
S (0.738, 0.677, 0.958)  -0.07
S (0.219, 0.677, 0.439)  -0.07
S (0.781, 0.323, 0.561)  -0.07
S (0.727, 0.680, 0.453)  -0.10
S (0.781, 0.323, 0.042)  -0.07
S (0.219, 0.677, 0.958)  -0.07
S (0.273, 0.320, 0.547)  -0.10
Pu (0.500, 0.500, 0.500)  5.04
Pu (0.500, 0.500, 0.000)  5.04
Pu (0.000, 0.500, 0.500)  5.04
Sc (0.000, 0.500, 0.000)  0.08


No. 12
VASP calculation (PBE) on a relaxed structure of ErPuCrOs.

Its density of states at the Fermi level is 5.34 states/eV/f.u. The calculation puts the formation energy from the elements at 0.06 eV/atom.

Unit cell a=4.808 b=4.808 c=4.808 alpha=60.00 beta=60.00 gamma=60.00
Each line ends with the local moment (μB).
Positions (direct):
Os (0.250, 0.250, 0.250)  0.29
Pu (0.000, 0.000, 0.000)  -4.86
Er (0.500, 0.500, 0.500)  0.04
Cr (0.750, 0.750, 0.750)  2.85


No. 13
VASP calculation (PBE) on a relaxed structure of Th2ScTc.

The value obtained for the offset from the most stable computed form is 0.466 eV per atom. Its density of states at the Fermi level is 5.39 states/eV/f.u. The calculation puts the formation energy from the elements at 0.42 eV/atom.

Unit cell a=3.768 b=3.768 c=10.173 alpha=79.33 beta=79.33 gamma=60.00
Positions (direct):
Tc (0.500, 0.500, 0.500)
Sc (0.000, 0.000, 0.000)
Th (0.891, 0.891, 0.326)
Th (0.109, 0.109, 0.674)


No. 14
VASP calculation (PBE) on a relaxed structure of KRh2W.

The value obtained for the offset from the most stable computed form is 0.379 eV per atom. Its density of states at the Fermi level is 3.16 states/eV/f.u. The calculation puts the formation energy from the elements at 0.62 eV/atom.

Unit cell a=4.398 b=2.854 c=7.020 alpha=84.58 beta=90.00 gamma=90.00
Positions (direct):
Rh (0.500, 0.100, 0.302)
Rh (0.000, 0.133, 0.067)
W (0.000, 0.564, 0.361)
K (0.500, 0.703, 0.769)


No. 15
VASP calculation (PBE) on a relaxed structure of ReAu.

The value obtained for the offset from the most stable computed form is 2.136 eV per atom. Its density of states at the Fermi level is 2.98 states/eV/f.u. The calculation puts the formation energy from the elements at 2.28 eV/atom.

Unit cell a=7.117 b=7.117 c=7.117 alpha=90.00 beta=90.00 gamma=90.00
Each line ends with the local moment (μB).
Positions (direct):
Au (0.750, 0.000, 0.500)  0.03
Au (0.000, 0.500, 0.250)  0.03
Au (0.500, 0.750, 0.000)  0.03
Au (0.000, 0.500, 0.750)  0.03
Au (0.500, 0.250, 0.000)  0.03
Au (0.250, 0.000, 0.500)  0.03
Re (0.750, 0.500, 0.000)  0.82
Re (0.000, 0.750, 0.500)  0.82
Re (0.500, 0.000, 0.750)  0.82
Re (0.500, 0.000, 0.250)  0.82
Re (0.250, 0.500, 0.000)  0.82
Re (0.000, 0.250, 0.500)  0.82


No. 16
VASP calculation (PBE) on a relaxed structure of TiP2F2.

Its formation energy (no corrections) is -0.582 eV per atom. Its density of states at the Fermi level is 3.23 states/eV/f.u.

Unit cell a=3.360 b=3.360 c=6.194 alpha=74.26 beta=74.26 gamma=90.00
Positions (direct):
F (0.250, 0.750, 0.500)
F (0.750, 0.250, 0.500)
P (0.603, 0.603, 0.795)
P (0.397, 0.397, 0.205)
Ti (0.000, 0.000, 0.000)


No. 17
VASP calculation (PBE) on a relaxed structure of NaHg2S8.

Its formation energy (no corrections) is -0.035 eV per atom. Its density of states at the Fermi level is 3.82 states/eV/f.u.

Unit cell a=9.370 b=4.538 c=9.871 alpha=105.08 beta=53.20 gamma=89.97
Positions (direct):
Hg (0.813, 0.322, 0.621)
Hg (0.187, 0.678, 0.379)
S (0.874, 0.855, 0.712)
S (0.676, 0.490, 0.234)
S (0.091, 0.645, 0.015)
S (0.909, 0.355, 0.985)
S (0.501, 0.178, 0.733)
S (0.498, 0.822, 0.267)
S (0.324, 0.510, 0.766)
S (0.126, 0.145, 0.288)
Na (0.500, 0.000, 0.000)


No. 18
VASP calculation (PBE) on a relaxed structure of BaNb2VAs.

Its density of states at the Fermi level is 9.10 states/eV/f.u. The calculation puts the formation energy from the elements at 0.77 eV/atom.

Unit cell a=5.031 b=4.701 c=5.031 alpha=90.00 beta=90.00 gamma=90.00
Positions (direct):
Nb (0.500, 0.000, 0.000)
Nb (0.000, 0.000, 0.500)
V (0.000, 0.500, 0.000)
Ba (0.500, 0.500, 0.500)
As (0.000, 0.000, 0.000)


No. 19
VASP calculation (PBE) on a relaxed structure of KTlZn2.

The value obtained for the offset from the most stable computed form is 0.182 eV per atom. Its density of states at the Fermi level is 1.72 states/eV/f.u. The calculation puts the formation energy from the elements at 0.21 eV/atom.

Unit cell a=5.552 b=5.552 c=5.552 alpha=126.60 beta=126.60 gamma=78.91
Positions (direct):
Zn (0.000, 0.000, 0.000)
Zn (0.250, 0.750, 0.500)
K (0.500, 0.500, 0.000)
Tl (0.750, 0.250, 0.500)


No. 20
VASP calculation (PBE) on a relaxed structure of CrB2H.

The value obtained for the offset from the most stable computed form is 0.000 eV per atom. Its density of states at the Fermi level is 2.15 states/eV/f.u.

Unit cell a=5.163 b=5.163 c=4.144 alpha=51.47 beta=51.47 gamma=90.00
Positions (direct):
B (0.198, 0.625, 0.250)
B (0.552, 0.125, 0.250)
B (0.375, 0.448, 0.750)
B (0.875, 0.802, 0.750)
Cr (0.750, 0.250, 0.500)
Cr (0.000, 0.000, 0.000)
H (0.500, 0.500, 0.000)
H (0.250, 0.750, 0.500)


No. 21
VASP calculation (PBE) on a relaxed structure of Pr6HoIn.

Its density of states at the Fermi level is 8.91 states/eV/f.u. The calculation puts the formation energy from the elements at -0.12 eV/atom.

Unit cell a=5.070 b=5.070 c=10.387 alpha=90.00 beta=90.00 gamma=90.00
Positions (direct):
Pr (0.500, 0.500, 0.000)
Pr (0.500, 0.000, 0.244)
Pr (0.000, 0.500, 0.244)
Pr (0.500, 0.500, 0.500)
Pr (0.500, 0.000, 0.756)
Pr (0.000, 0.500, 0.756)
Ho (0.000, 0.000, 0.500)
In (0.000, 0.000, 0.000)


No. 22
VASP calculation (PBE) on a relaxed structure of ScTc2P.

Its density of states at the Fermi level is 2.55 states/eV/f.u. The calculation puts the formation energy from the elements at -0.29 eV/atom.

Unit cell a=2.959 b=4.062 c=5.039 alpha=90.00 beta=90.00 gamma=90.00
Positions (direct):
Sc (0.500, 0.500, 0.738)
P (0.000, 0.000, 0.497)
Tc (0.500, 0.500, 0.242)
Tc (0.000, 0.000, 0.024)


No. 23
VASP calculation (PBE) on a relaxed structure of TaTl4Tc.

Its density of states at the Fermi level is 4.20 states/eV/f.u. The calculation puts the formation energy from the elements at 1.38 eV/atom.

Unit cell a=5.944 b=5.944 c=5.944 alpha=60.00 beta=60.00 gamma=60.00
Each line ends with the local moment (μB).
Positions (direct):
Tl (0.375, 0.875, 0.375)  0.01
Tl (0.875, 0.375, 0.375)  0.01
Tl (0.375, 0.375, 0.875)  0.01
Tl (0.375, 0.375, 0.375)  0.01
Ta (0.750, 0.750, 0.750)  -0.51
Tc (0.000, 0.000, 0.000)  2.76


No. 24
VASP calculation (PBE) on a relaxed structure of PrGdYEr.

Its density of states at the Fermi level is 7.78 states/eV/f.u. The calculation puts the formation energy from the elements at 0.10 eV/atom.

Unit cell a=5.726 b=5.726 c=5.726 alpha=60.00 beta=60.00 gamma=60.00
Each line ends with the local moment (μB).
Positions (direct):
Y (0.250, 0.250, 0.250)  0.05
Er (0.750, 0.750, 0.750)  0.06
Gd (0.500, 0.500, 0.500)  7.22
Pr (0.000, 0.000, 0.000)  -0.03


No. 25
VASP calculation (PBE) on a relaxed structure of AcNd2Ni2.

The value obtained for the offset from the most stable computed form is 0.000 eV per atom. Its density of states at the Fermi level is 4.76 states/eV/f.u. The calculation puts the formation energy from the elements at -0.22 eV/atom.

Unit cell a=3.899 b=4.516 c=7.789 alpha=106.85 beta=90.00 gamma=90.00
Positions (direct):
Nd (0.500, 0.657, 0.314)
Nd (0.500, 0.343, 0.686)
Ac (0.000, 0.000, 0.000)
Ni (0.000, 0.797, 0.594)
Ni (0.000, 0.203, 0.406)